The following is a PBE calculation of Mn2CoSi after structural relaxation, from the Alexandria database.

Unit cell a=2.7379 b=2.7379 c=5.8028 alpha=90.00 beta=90.00 gamma=90.00
Last column: nearest neighbours and their distance in Å.
Fractional positions:
Mn (0.0000, 0.0000, 0.2430)  4 Si 2.40, 4 Co 2.44
Mn (0.0000, 0.0000, 0.7570)  4 Si 2.40, 4 Co 2.44
Co (0.5000, 0.5000, 0.5000)  8 Mn 2.44
Si (0.5000, 0.5000, 0.0000)  8 Mn 2.40

## Properties
Formation energy (no corrections) in kJ/mol of atoms: -8.7

---

The following is a PBE calculation of Rb3Cd2Hg3 after structural relaxation, from the Alexandria database.

Unit cell a=7.0253 b=7.0253 c=17.6911 alpha=90.00 beta=90.00 gamma=135.43
Last column: nearest neighbours and their distance in Å.
Fractional positions:
Rb (0.0797, 0.9203, 0.6067)  7 Hg 3.74-4.08, 4 Cd 3.77-3.93
Rb (0.0797, 0.9203, 0.8933)  7 Hg 3.74-4.08, 4 Cd 3.77-3.93
Rb (0.3765, 0.6235, 0.7500)  5 Hg 3.74-3.85, 4 Cd 4.05
Rb (0.6235, 0.3765, 0.2500)  5 Hg 3.74-3.85, 4 Cd 4.05
Rb (0.9203, 0.0797, 0.1067)  7 Hg 3.74-4.08, 4 Cd 3.77-3.93
Rb (0.9203, 0.0797, 0.3933)  7 Hg 3.74-4.08, 4 Cd 3.77-3.93
Cd (0.2162, 0.7838, 0.0916)  4 Hg 3.08-3.15
Cd (0.2162, 0.7838, 0.4084)  4 Hg 3.08-3.15
Cd (0.7838, 0.2162, 0.5916)  4 Hg 3.08-3.15
Cd (0.7838, 0.2162, 0.9084)  4 Hg 3.08-3.15
Hg (0.3274, 0.6726, 0.2500)  2 Cd 3.15
Hg (0.3794, 0.6206, 0.5388)  3 Cd 3.08-3.13, 1 Hg 3.42
Hg (0.3794, 0.6206, 0.9612)  3 Cd 3.08-3.13, 1 Hg 3.42
Hg (0.6206, 0.3794, 0.0388)  3 Cd 3.08-3.13, 1 Hg 3.42
Hg (0.6206, 0.3794, 0.4612)  3 Cd 3.08-3.13, 1 Hg 3.42
Hg (0.6726, 0.3274, 0.7500)  2 Cd 3.15

## Properties
ΔE_f in meV/atom: -188

---

The following is a PBE calculation of GeAsH3 after structural relaxation, from the Alexandria database.

Unit cell a=3.7540 b=3.7540 c=3.7540 alpha=90.00 beta=90.00 gamma=90.00
Last column: nearest neighbours and their distance in Å.
Fractional positions:
Ge (0.0000, 0.0000, 0.0000)  12 H 2.65
As (0.5000, 0.5000, 0.5000)  6 H 1.88
H (0.0000, 0.5000, 0.5000)  2 As 1.88
H (0.5000, 0.0000, 0.5000)  2 As 1.88
H (0.5000, 0.5000, 0.0000)  2 As 1.88

## Properties
Relative energy among the computed polymorphs in meV/atom: 0

---

The following is a PBE calculation of Tb4Sm5Th after structural relaxation, from the Alexandria database.

Unit cell a=9.2679 b=9.2679 c=10.5496 alpha=96.46 beta=96.46 gamma=22.27
Last column: nearest neighbours and their distance in Å.
Fractional positions:
Tb (0.0477, 0.0477, 0.2592)  4 Sm 3.28-3.42, 4 Tb 3.30-3.58, 2 Th 3.30
Tb (0.3192, 0.3192, 0.5834)  6 Tb 3.30-3.58, 1 Th 3.50
Tb (0.6808, 0.6808, 0.4166)  6 Tb 3.30-3.58, 1 Th 3.50
Tb (0.9523, 0.9523, 0.7408)  4 Sm 3.28-3.42, 4 Tb 3.30-3.58, 2 Th 3.30
Sm (0.1394, 0.1394, 0.7269)  2 Tb 3.42-3.76, 2 Sm 3.58, 2 Th 3.74
Sm (0.1898, 0.1898, 0.0940)  1 Tb 3.28, 4 Sm 3.58-3.60
Sm (0.5000, 0.5000, 0.0000)  4 Tb 3.30, 2 Sm 3.58
Sm (0.8102, 0.8102, 0.9060)  1 Tb 3.28, 4 Sm 3.58-3.60
Sm (0.8606, 0.8606, 0.2731)  2 Tb 3.42-3.76, 2 Sm 3.58, 2 Th 3.74
Th (0.5000, 0.5000, 0.5000)  6 Tb 3.30-3.50, 2 Th 3.58

## Properties
Relative energy among the computed polymorphs in meV/atom: 122
ΔE_f in meV/atom: 163

---

The following is a PBE calculation of HfMn2ReI after structural relaxation, from the Alexandria database.

Unit cell a=5.0511 b=5.0511 c=4.8239 alpha=90.00 beta=90.00 gamma=90.00
Last column: nearest neighbours and their distance in Å.
Fractional positions:
Hf (0.0000, 0.0000, 0.0000)  2 Re 2.41, 4 Mn 2.53
Mn (0.0000, 0.5000, 0.0000)  2 Hf 2.53
Mn (0.5000, 0.0000, 0.0000)  2 Hf 2.53
Re (0.0000, 0.0000, 0.5000)  2 Hf 2.41
I (0.5000, 0.5000, 0.5000)  8 Mn 3.49, 4 Re 3.57

## Properties
Formation energy (no corrections) in kJ/mol of atoms: 168.8

---

The following is a PBE calculation of CsH3 after structural relaxation, from the Alexandria database.

Unit cell a=4.2079 b=4.2079 c=8.2964 alpha=90.00 beta=90.00 gamma=90.00
Last column: nearest neighbours and their distance in Å.
Fractional positions:
Cs (0.0000, 0.0000, 0.0000)  14 H 2.98-3.15
Cs (0.5000, 0.5000, 0.5000)  14 H 2.98-3.15
H (0.0000, 0.0000, 0.3744)  1 H 1.04
H (0.0000, 0.0000, 0.5000)  2 H 1.04
H (0.0000, 0.0000, 0.6256)  1 H 1.04
H (0.5000, 0.5000, 0.0000)  2 H 1.04
H (0.5000, 0.5000, 0.1256)  1 H 1.04
H (0.5000, 0.5000, 0.8744)  1 H 1.04

## Properties
Relative energy among the computed polymorphs in meV/atom: 35

---

These records have calculated total energy values of -7.81, -0.89, -3.13, -4.79, -6.71, -2.77 eV per atom, in the order they appear.